Record 1
{
  "formula": "NaNdSi2O6",
  "functional": "PBE",
  "state": "relaxed",
  "sg": "C2/c (15)",
  "raw_formation_energy_ev_per_atom": -2.7300,
  "magnetic_moment_mub_per_fu": 0.0,
  "e_tot_ev_per_atom": -7.398,
  "lattice_angstrom": [[-3.023, 3.956, -4.521], [0.186, -6.445, -1.912], [-5.126, -0.433, 4.580]],
  "species": ["Na", "Na", "Nd", "Nd", "Si", "Si", "Si", "Si", "O", "O", "O", "O", "O", "O", "O", "O", "O", "O", "O", "O"],
  "frac_coords": [[0.035, 0.965, 0.250], [0.965, 0.035, 0.750], [0.589, 0.411, 0.250], [0.411, 0.589, 0.750], [0.490, 0.168, 0.624], [0.832, 0.510, 0.876], [0.510, 0.832, 0.376], [0.168, 0.490, 0.124], [0.942, 0.532, 0.151], [0.468, 0.058, 0.349], [0.058, 0.468, 0.849], [0.532, 0.942, 0.651], [0.196, 0.258, 0.095], [0.742, 0.804, 0.405], [0.804, 0.742, 0.905], [0.258, 0.196, 0.595], [0.303, 0.590, 0.394], [0.410, 0.697, 0.106], [0.697, 0.410, 0.606], [0.590, 0.303, 0.894]]
}

Record 2
{
  "formula": "NaNd2SiO5",
  "functional": "PBE",
  "state": "relaxed",
  "sg": "P4/mbm (127)",
  "raw_formation_energy_ev_per_atom": -2.5405,
  "magnetic_moment_mub_per_fu": 0.8,
  "e_tot_ev_per_atom": -7.104,
  "lattice_angstrom": [[5.418, 0.000, 0.000], [0.000, 6.851, 0.000], [0.000, 0.000, 6.851]],
  "species": ["Na", "Na", "Nd", "Nd", "Nd", "Nd", "Si", "Si", "O", "O", "O", "O", "O", "O", "O", "O", "O", "O"],
  "frac_coords": [[0.000, 0.500, 0.500], [0.000, 0.000, 0.000], [0.500, 0.680, 0.180], [0.500, 0.180, 0.320], [0.500, 0.820, 0.680], [0.500, 0.320, 0.820], [0.000, 0.000, 0.500], [0.000, 0.500, 0.000], [0.500, 0.500, 0.500], [0.500, 0.000, 0.000], [0.229, 0.124, 0.624], [0.229, 0.876, 0.376], [0.229, 0.376, 0.124], [0.229, 0.624, 0.876], [0.771, 0.124, 0.624], [0.771, 0.624, 0.876], [0.771, 0.876, 0.376], [0.771, 0.376, 0.124]]
}

Record 3
{
  "formula": "Na3Nd3SnO8",
  "functional": "PBE",
  "state": "relaxed",
  "sg": "R-3m (166)",
  "raw_formation_energy_ev_per_atom": -2.4132,
  "magnetic_moment_mub_per_fu": 0.0,
  "e_tot_ev_per_atom": -6.542,
  "lattice_angstrom": [[-6.503, 2.467, 1.144], [1.545, -3.165, -6.106], [-0.350, -3.646, 5.871]],
  "species": ["Na", "Na", "Na", "Nd", "Nd", "Nd", "Sn", "O", "O", "O", "O", "O", "O", "O", "O"],
  "frac_coords": [[0.000, 0.000, 0.000], [0.000, 0.500, 0.000], [0.500, 0.500, 0.000], [0.500, 0.000, 0.500], [0.500, 0.500, 0.500], [0.000, 0.500, 0.500], [0.000, 0.000, 0.500], [0.263, 0.525, 0.288], [0.737, 0.475, 0.712], [0.783, 0.566, 0.296], [0.217, 0.434, 0.704], [0.783, 0.013, 0.296], [0.217, 0.987, 0.704], [0.231, 0.013, 0.296], [0.769, 0.987, 0.704]]
}

Record 4
{
  "formula": "NaSr2NdO4",
  "functional": "PBE",
  "state": "relaxed",
  "sg": "P2/m (10)",
  "raw_formation_energy_ev_per_atom": -2.6303,
  "magnetic_moment_mub_per_fu": 0.0,
  "e_tot_ev_per_atom": -6.291,
  "lattice_angstrom": [[3.636, 0.000, 0.000], [0.000, 6.150, 0.164], [0.000, -2.098, 5.836]],
  "species": ["Na", "Sr", "Sr", "Nd", "O", "O", "O", "O"],
  "frac_coords": [[0.000, 0.000, 0.000], [0.500, 0.000, 0.500], [0.000, 0.500, 0.500], [0.500, 0.500, 0.000], [0.500, 0.271, 0.251], [0.500, 0.729, 0.749], [0.000, 0.267, 0.766], [0.000, 0.733, 0.234]]
}

Record 5
{
  "formula": "NaSr2NdTi4O12",
  "functional": "PBE",
  "state": "relaxed",
  "sg": "P-42m (111)",
  "raw_formation_energy_ev_per_atom": -3.0532,
  "magnetic_moment_mub_per_fu": 0.0,
  "e_tot_ev_per_atom": -8.080,
  "lattice_angstrom": [[-2.534, 4.377, 2.169], [-2.454, 0.973, -4.829], [-6.058, -4.576, 2.156]],
  "species": ["Na", "Sr", "Sr", "Nd", "Ti", "Ti", "Ti", "Ti", "O", "O", "O", "O", "O", "O", "O", "O", "O", "O", "O", "O"],
  "frac_coords": [[0.500, 0.500, 0.000], [0.000, 0.000, 0.500], [0.500, 0.500, 0.500], [0.000, 0.000, 0.000], [0.500, 0.000, 0.753], [0.000, 0.500, 0.247], [0.500, 0.000, 0.247], [0.000, 0.500, 0.753], [0.285, 0.715, 0.249], [0.796, 0.204, 0.760], [0.204, 0.796, 0.760], [0.715, 0.285, 0.249], [0.204, 0.204, 0.240], [0.715, 0.715, 0.751], [0.796, 0.796, 0.240], [0.285, 0.285, 0.751], [0.000, 0.500, 0.000], [0.500, 0.000, 0.500], [0.500, 0.000, 0.000], [0.000, 0.500, 0.500]]
}

What did the fifth record say?
{
  "formula": "NaSr2NdTi4O12",
  "functional": "PBE",
  "state": "relaxed",
  "sg": "P-42m (111)",
  "raw_formation_energy_ev_per_atom": -3.0532,
  "magnetic_moment_mub_per_fu": 0.0,
  "e_tot_ev_per_atom": -8.080,
  "lattice_angstrom": [[-2.534, 4.377, 2.169], [-2.454, 0.973, -4.829], [-6.058, -4.576, 2.156]],
  "species": ["Na", "Sr", "Sr", "Nd", "Ti", "Ti", "Ti", "Ti", "O", "O", "O", "O", "O", "O", "O", "O", "O", "O", "O", "O"],
  "frac_coords": [[0.500, 0.500, 0.000], [0.000, 0.000, 0.500], [0.500, 0.500, 0.500], [0.000, 0.000, 0.000], [0.500, 0.000, 0.753], [0.000, 0.500, 0.247], [0.500, 0.000, 0.247], [0.000, 0.500, 0.753], [0.285, 0.715, 0.249], [0.796, 0.204, 0.760], [0.204, 0.796, 0.760], [0.715, 0.285, 0.249], [0.204, 0.204, 0.240], [0.715, 0.715, 0.751], [0.796, 0.796, 0.240], [0.285, 0.285, 0.751], [0.000, 0.500, 0.000], [0.500, 0.000, 0.500], [0.500, 0.000, 0.000], [0.000, 0.500, 0.500]]
}